1.
Here is YU4S7 after structural relaxation from Alexandria. Energies are from PBE.

Cell and atoms, written as POSCAR:
```
YU4S7
1.0
3.900 0.000 0.000
-1.950 3.377 0.000
0.000 0.000 22.802
S Y U
7 1 4
direct
0.333 0.667 0.430
0.000 0.000 0.295
0.333 0.667 0.134
0.667 0.333 0.570
0.000 0.000 0.000
0.000 0.000 0.705
0.667 0.333 0.866
0.000 0.000 0.500
0.667 0.333 0.070
0.333 0.667 0.930
0.667 0.333 0.358
0.333 0.667 0.642
```

## Properties
**Total magnetic moment**: 0.744 μB/atom
**Crystal system**: trigonal
**Formation energy without anion corrections**: -1.460 eV per atom


2.
Here is Li2PuF6 after structural relaxation from Alexandria. Energies are from PBE.

Cell and atoms, written as POSCAR:
```
Li2PuF6
1.0
3.955 0.000 0.000
1.977 5.175 -0.340
1.977 1.765 5.560
F Li Pu
6 2 1
direct
0.032 0.148 0.787
0.365 0.711 0.560
0.635 0.289 0.440
0.241 0.366 0.152
0.968 0.852 0.213
0.759 0.634 0.848
0.176 0.750 0.898
0.824 0.250 0.102
0.000 0.500 0.500
```

## Properties
**Total magnetic moment**: 0.444 μB/atom
**Crystal system**: monoclinic
**Formation energy without anion corrections**: -3.222 eV per atom


3.
Here is ZrIr2F after structural relaxation from Alexandria. Energies are from PBE.

Cell and atoms, written as POSCAR:
```
ZrIr2F
1.0
0.000 3.157 3.157
3.157 0.000 3.157
3.157 3.157 0.000
Ir Zr F
2 1 1
direct
0.250 0.250 0.250
0.750 0.750 0.750
0.500 0.500 0.500
0.000 0.000 0.000
```

## Properties
**Energy above the most stable polymorph in this dataset**: 0.312 eV per atom
**Total magnetic moment**: 0.000 μB/atom
**Crystal system**: cubic
**Formation energy without anion corrections**: -0.206 eV per atom


4.
Here is ScIn2Tc after structural relaxation from Alexandria. Energies are from PBE.

Cell and atoms, written as POSCAR:
```
ScIn2Tc
1.0
-3.455 -0.485 3.993
-1.496 -5.039 0.696
4.730 2.355 -0.444
In Tc Sc
2 1 1
direct
0.000 0.000 0.000
0.250 0.750 0.500
0.750 0.250 0.500
0.500 0.500 0.000
```

## Properties
**Energy relative to the elements**: -20.3 meV/atom
**Energy above the most stable polymorph in this dataset**: 0.095 eV per atom
**Total magnetic moment**: 0.000 μB/atom
**Crystal system**: tetragonal


5.
Here is KInHg2H after structural relaxation from Alexandria. Energies are from PBE.

Cell and atoms, written as POSCAR:
```
KInHg2H
1.0
5.937 0.000 0.000
0.000 5.937 0.000
0.000 0.000 3.982
H Hg In K
1 2 1 1
direct
0.000 0.000 0.500
0.500 0.000 0.000
0.000 0.500 0.000
0.000 0.000 0.000
0.500 0.500 0.500
```

## Properties
**Total magnetic moment**: 0.000 μB/atom
**Crystal system**: tetragonal
**DFT total energy**: -1.53 eV per atom


6.
Here is CaAgAsO4 after structural relaxation from Alexandria. Energies are from PBE.

Cell and atoms, written as POSCAR:
```
CaAgAsO4
1.0
-2.815 3.981 -2.835
-4.796 -2.879 0.721
3.124 1.461 4.558
Ca O As Ag
1 4 1 1
direct
0.500 0.500 0.000
0.536 0.678 0.736
0.942 0.464 0.264
0.201 0.058 0.736
0.322 0.799 0.264
0.250 0.750 0.500
0.000 0.000 0.000
```

## Properties
**Energy above the most stable polymorph in this dataset**: 0.060 eV per atom
**Total magnetic moment**: 0.000 μB/atom
**Crystal system**: tetragonal
**Formation energy without anion corrections**: -1.587 eV per atom